# 1
# Dy2HoIr3 PBE relaxed
# **Total energy**: -7.555 eV per atom
data_Dy2HoIr3
_chemical_formula_sum 'Dy2 Ho1 Ir3'
_symmetry_space_group_name_H-M 'P -3 m 1'
_symmetry_Int_Tables_number 164
_symmetry_space_group_name_Hall '-P 3 2"'
_cell_length_a 4.8418
_cell_length_b 4.8418
_cell_length_c 5.9247
_cell_angle_alpha 90.00
_cell_angle_beta 90.00
_cell_angle_gamma 120.00
loop_
_atom_site_label
_atom_site_type_symbol
_atom_site_fract_x
_atom_site_fract_y
_atom_site_fract_z
Dy1 Dy 0.3333 0.6667 0.1669
Ho1 Ho 0.0000 0.0000 0.5000
Ir1 Ir 0.0000 0.0000 0.0000
Ir2 Ir 0.3333 0.6667 0.6658

=====

# 2
# Al2NiS PBE relaxed
# **ΔE_f (raw)**: -177 meV per atom
data_Al2NiS
_chemical_formula_sum 'Al8 Ni4 S4'
_symmetry_space_group_name_H-M 'I -4 2 d'
_symmetry_Int_Tables_number 122
_symmetry_space_group_name_Hall 'I -4 2bw'
_cell_length_a 5.951
_cell_length_b 5.951
_cell_length_c 8.346
_cell_angle_alpha 90.00
_cell_angle_beta 90.00
_cell_angle_gamma 90.00
loop_
_atom_site_label
_atom_site_type_symbol
_atom_site_fract_x
_atom_site_fract_y
_atom_site_fract_z
Al1 Al 0.244 0.250 0.125
Ni1 Ni 0.000 0.000 0.000
S1 S 0.000 0.000 0.500

=====

# 3
# Rb2NaSb2 PBE relaxed
# **ΔE_f (raw)**: -352 meV per atom
data_Rb2NaSb2
_chemical_formula_sum 'Rb8 Na4 Sb8'
_symmetry_space_group_name_H-M 'C 1 2/c 1'
_symmetry_Int_Tables_number 15
_cell_length_a 11.984
_cell_length_b 7.303
_cell_length_c 9.830
_cell_angle_alpha 90.00
_cell_angle_beta 100.51
_cell_angle_gamma 90.00
loop_
_symmetry_equiv_pos_as_xyz
'x,y,z'
'-x,-y,-z'
'-x,y,-z+1/2'
'x,-y,z+1/2'
'x+1/2,y+1/2,z'
'-x+1/2,-y+1/2,-z'
'-x+1/2,y+1/2,-z+1/2'
'x+1/2,-y+1/2,z+1/2'
loop_
_atom_site_label
_atom_site_type_symbol
_atom_site_fract_x
_atom_site_fract_y
_atom_site_fract_z
Rb1 Rb 0.149 0.145 0.145
Na1 Na 0.000 0.423 0.750
Sb1 Sb 0.146 0.342 0.506

=====

# 4
# Np2Tl3AgSe6 PBE relaxed
# **ΔE_f (raw)**: -728 meV per atom
data_Np2Tl3AgSe6
_chemical_formula_sum 'Np4 Tl6 Ag2 Se12'
_symmetry_space_group_name_H-M 'C 1 2/m 1'
_symmetry_Int_Tables_number 12
_cell_length_a 7.149
_cell_length_b 12.415
_cell_length_c 8.118
_cell_angle_alpha 90.00
_cell_angle_beta 106.71
_cell_angle_gamma 90.00
loop_
_symmetry_equiv_pos_as_xyz
'x,y,z'
'-x,-y,-z'
'-x,y,-z'
'x,-y,z'
'x+1/2,y+1/2,z'
'-x+1/2,-y+1/2,-z'
'-x+1/2,y+1/2,-z'
'x+1/2,-y+1/2,z'
loop_
_atom_site_label
_atom_site_type_symbol
_atom_site_fract_x
_atom_site_fract_y
_atom_site_fract_z
Np1 Np 0.000 0.167 0.000
Tl1 Tl 0.000 0.000 0.500
Tl2 Tl 0.000 0.339 0.500
Ag1 Ag 0.000 0.500 0.000
Se1 Se 0.221 0.000 0.199
Se2 Se 0.244 0.325 0.209

=====

# 5
# TiAsSe2O PBE relaxed
# **ΔE_f (raw)**: 113 meV per atom
data_TiAsSe2O
_chemical_formula_sum 'Ti1 As1 Se2 O1'
_symmetry_space_group_name_H-M 'P 4/m m m'
_symmetry_Int_Tables_number 123
_symmetry_space_group_name_Hall '-P 4 2'
_cell_length_a 4.481
_cell_length_b 4.481
_cell_length_c 4.271
_cell_angle_alpha 90.00
_cell_angle_beta 90.00
_cell_angle_gamma 90.00
loop_
_atom_site_label
_atom_site_type_symbol
_atom_site_fract_x
_atom_site_fract_y
_atom_site_fract_z
Ti1 Ti 0.000 0.000 0.000
As1 As 0.500 0.500 0.000
Se1 Se 0.000 0.500 0.500
O1 O 0.500 0.500 0.500

=====

# 6
# Zr2Sn2Se PBE relaxed
# **ΔE_f (raw)**: -563 meV per atom
data_Zr2Sn2Se
_chemical_formula_sum 'Zr4 Sn4 Se2'
_symmetry_space_group_name_H-M 'P 4/m b m'
_symmetry_Int_Tables_number 127
_symmetry_space_group_name_Hall '-P 4 2ab'
_cell_length_a 7.350
_cell_length_b 7.350
_cell_length_c 4.332
_cell_angle_alpha 90.00
_cell_angle_beta 90.00
_cell_angle_gamma 90.00
loop_
_atom_site_label
_atom_site_type_symbol
_atom_site_fract_x
_atom_site_fract_y
_atom_site_fract_z
Zr1 Zr 0.167 0.333 0.000
Sn1 Sn 0.138 0.638 0.500
Se1 Se 0.000 0.000 0.000

=====

# 7
# DyPb4S5 PBE relaxed
# **ΔE_f (raw)**: -814 meV per atom
data_DyPb4S5
_chemical_formula_sum 'Dy2 Pb8 S10'
_symmetry_space_group_name_H-M 'I 4'
_symmetry_Int_Tables_number 79
_cell_length_a 9.463
_cell_length_b 9.463
_cell_length_c 5.925
_cell_angle_alpha 90.00
_cell_angle_beta 90.00
_cell_angle_gamma 90.00
loop_
_symmetry_equiv_pos_as_xyz
'x,y,z'
'-y,x,z'
'-x,-y,z'
'y,-x,z'
'x+1/2,y+1/2,z+1/2'
'-y+1/2,x+1/2,z+1/2'
'-x+1/2,-y+1/2,z+1/2'
'y+1/2,-x+1/2,z+1/2'
loop_
_atom_site_label
_atom_site_type_symbol
_atom_site_fract_x
_atom_site_fract_y
_atom_site_fract_z
Dy1 Dy 0.000 0.000 0.000
Pb1 Pb 0.103 0.698 0.493
S1 S 0.000 0.000 0.492
S2 S 0.099 0.727 0.994

=====

# 8
# Ba2Tl2Cd PBE relaxed
# **Total energy**: -2.064 eV per atom
data_Ba2Tl2Cd
_chemical_formula_sum 'Ba4 Tl4 Cd2'
_symmetry_space_group_name_H-M 'I 4/m m m'
_symmetry_Int_Tables_number 139
_symmetry_space_group_name_Hall '-I 4 2'
_cell_length_a 4.434
_cell_length_b 4.434
_cell_length_c 20.666
_cell_angle_alpha 90.00
_cell_angle_beta 90.00
_cell_angle_gamma 90.00
loop_
_atom_site_label
_atom_site_type_symbol
_atom_site_fract_x
_atom_site_fract_y
_atom_site_fract_z
Ba1 Ba 0.000 0.000 0.098
Tl1 Tl 0.000 0.500 0.250
Cd1 Cd 0.000 0.000 0.500

=====

# 9
# TlCoCl3 PBE relaxed
# **ΔE_f (raw)**: -742 meV per atom
data_TlCoCl3
_chemical_formula_sum 'Tl8 Co8 Cl24'
_symmetry_space_group_name_H-M 'P b c a'
_symmetry_Int_Tables_number 61
_cell_length_a 5.902
_cell_length_b 13.983
_cell_length_c 12.144
_cell_angle_alpha 90.00
_cell_angle_beta 90.00
_cell_angle_gamma 90.00
loop_
_symmetry_equiv_pos_as_xyz
'x,y,z'
'-x,-y,-z'
'-x+1/2,-y,z+1/2'
'x+1/2,y,-z+1/2'
'x+1/2,-y+1/2,-z'
'-x+1/2,y+1/2,z'
'-x,y+1/2,-z+1/2'
'x,-y+1/2,z+1/2'
loop_
_atom_site_label
_atom_site_type_symbol
_atom_site_fract_x
_atom_site_fract_y
_atom_site_fract_z
Tl1 Tl 0.242 0.127 0.083
Co1 Co 0.051 0.623 0.750
Cl1 Cl 0.196 0.005 0.829
Cl2 Cl 0.197 0.123 0.591
Cl3 Cl 0.197 0.243 0.829

=====

# 10
# SmCuGePt3 PBE relaxed
# **Total energy**: -5.811 eV per atom
data_SmCuGePt3
_chemical_formula_sum 'Sm4 Cu4 Ge4 Pt12'
_symmetry_space_group_name_H-M 'C m c m'
_symmetry_Int_Tables_number 63
_symmetry_space_group_name_Hall '-C 2c 2'
_cell_length_a 6.834
_cell_length_b 11.651
_cell_length_c 5.685
_cell_angle_alpha 90.00
_cell_angle_beta 90.00
_cell_angle_gamma 90.00
loop_
_atom_site_label
_atom_site_type_symbol
_atom_site_fract_x
_atom_site_fract_y
_atom_site_fract_z
Sm1 Sm 0.000 0.205 0.250
Cu1 Cu 0.000 0.442 0.250
Ge1 Ge 0.000 0.127 0.750
Pt1 Pt 0.000 0.332 0.750
Pt2 Pt 0.214 0.000 0.000

=====

# 11
# BaCo2P PBE relaxed
# **Total energy**: -5.040 eV per atom
data_BaCo2P
_chemical_formula_sum 'Ba1 Co2 P1'
_symmetry_space_group_name_H-M 'P 4/m m m'
_symmetry_Int_Tables_number 123
_symmetry_space_group_name_Hall '-P 4 2'
_cell_length_a 3.015
_cell_length_b 3.015
_cell_length_c 7.329
_cell_angle_alpha 90.00
_cell_angle_beta 90.00
_cell_angle_gamma 90.00
loop_
_atom_site_label
_atom_site_type_symbol
_atom_site_fract_x
_atom_site_fract_y
_atom_site_fract_z
Ba1 Ba 0.000 0.000 0.000
Co1 Co 0.500 0.500 0.340
P1 P 0.000 0.000 0.500

=====

# 12
# CaCd2NiH PBE relaxed
# **Total energy**: -2.294 eV per atom
data_CaCd2NiH
_chemical_formula_sum 'Ca1 Cd2 Ni1 H1'
_symmetry_space_group_name_H-M 'P 4/m m m'
_symmetry_Int_Tables_number 123
_symmetry_space_group_name_Hall '-P 4 2'
_cell_length_a 4.927
_cell_length_b 4.927
_cell_length_c 5.234
_cell_angle_alpha 90.00
_cell_angle_beta 90.00
_cell_angle_gamma 90.00
loop_
_atom_site_label
_atom_site_type_symbol
_atom_site_fract_x
_atom_site_fract_y
_atom_site_fract_z
Ca1 Ca 0.000 0.000 0.000
Cd1 Cd 0.000 0.500 0.500
Ni1 Ni 0.000 0.000 0.500
H1 H 0.500 0.500 0.000

=====

# 13
# LiMg2PbS PBE relaxed
# **ΔE_f (raw)**: 250 meV per atom
data_LiMg2PbS
_chemical_formula_sum 'Li1 Mg2 Pb1 S1'
_symmetry_space_group_name_H-M 'P 4/m m m'
_symmetry_Int_Tables_number 123
_symmetry_space_group_name_Hall '-P 4 2'
_cell_length_a 4.976
_cell_length_b 4.976
_cell_length_c 4.802
_cell_angle_alpha 90.00
_cell_angle_beta 90.00
_cell_angle_gamma 90.00
loop_
_atom_site_label
_atom_site_type_symbol
_atom_site_fract_x
_atom_site_fract_y
_atom_site_fract_z
Li1 Li 0.000 0.000 0.000
Mg1 Mg 0.000 0.500 0.000
Pb1 Pb 0.000 0.000 0.500
S1 S 0.500 0.500 0.500

=====

# 14
# Ca2Hg8Pd PBE relaxed
# **Total energy**: -1.373 eV per atom
data_Ca2Hg8Pd
_chemical_formula_sum 'Ca2 Hg8 Pd1'
_symmetry_space_group_name_H-M 'P 4/m m m'
_symmetry_Int_Tables_number 123
_symmetry_space_group_name_Hall '-P 4 2'
_cell_length_a 4.799
_cell_length_b 4.799
_cell_length_c 11.981
_cell_angle_alpha 90.00
_cell_angle_beta 90.00
_cell_angle_gamma 90.00
loop_
_atom_site_label
_atom_site_type_symbol
_atom_site_fract_x
_atom_site_fract_y
_atom_site_fract_z
Ca1 Ca 0.000 0.000 0.195
Hg1 Hg 0.000 0.500 0.000
Hg2 Hg 0.000 0.500 0.373
Hg3 Hg 0.500 0.500 0.186
Pd1 Pd 0.000 0.000 0.500